1.
Density functional theory data (PBE) for a relaxed structure of RbLi2Ca.

Computed properties:
* calculated density: 1.4 g/cm3
* E above lowest polymorph: 0.000 eV per atom
* DFT total energy: -1.568 eV/atom
* SG: No. 123

abc: 4.2776 4.2776 8.9411
angles: 90.00 90.00 90.00
Last column: nearest neighbours and their distance in Å.
Atoms (fractional coordinates):
Rb 0.0000 0.0000 0.0000  8 Li 4.15, 4 Rb 4.28, 2 Ca 4.47
Li 0.5000 0.5000 0.3172  1 Li 3.27, 4 Ca 3.44
Li 0.5000 0.5000 0.6828  1 Li 3.27, 4 Ca 3.44
Ca 0.0000 0.0000 0.5000  8 Li 3.44

***

2.
Density functional theory data (PBE) for a relaxed structure of Sc3RuW.

Computed properties:
* calculated density: 5.8 g/cm3
* E above lowest polymorph: 0.388 eV per atom
* DFT total energy: -7.171 eV/atom
* SG: No. 221

abc: 4.9287 4.9287 4.9287
angles: 90.00 90.00 90.00
Last column: nearest neighbours and their distance in Å.
Atoms (fractional coordinates):
Sc 0.0000 0.0000 0.5000  2 W 2.46
Sc 0.0000 0.5000 0.0000  2 W 2.46
Sc 0.5000 0.0000 0.0000  2 W 2.46
Ru 0.5000 0.5000 0.5000  12 Sc 3.49
W 0.0000 0.0000 0.0000  6 Sc 2.46

***

no.,energy relative to the elements (eV/atom)
1,0.1310
2,1.0738